The following is a GGA+U calculation of crystalline Ag2RhWO at its relaxed geometry, from Alexandria.

Lattice parameters (Å, degrees): 4.420 4.309 4.420 90.00 90.00 90.00
Atoms (fractional coordinates):
O 0.000 0.000 0.000
Ag 0.000 0.000 0.500
Ag 0.500 0.000 0.000
Rh 0.000 0.500 0.000
W 0.500 0.500 0.500

Values from the calculation:
- Density: 10.2 Mg/m³
- V: 84 Å³ per cell
- Final energy: -4.3718 eV per atom
- Crystal system: tetragonal